A plane-wave DFT calculation with PBEsol was carried out for Li2ReRu after structural relaxation.

Cell: 2.611 2.611 9.420 Å, 82.03 82.03 60.00°
Fractional coordinates of all 4 atoms:
Re: 0.000 0.000 0.000
Ru: 0.500 0.500 0.500
Li: 0.752 0.752 0.744
Li: 0.248 0.248 0.256

**Energy of formation from the pure elements**: 0.30 eV per atom
**Space-group type**: R-3m (166)
**V**: 13.7 Å³/atom
**ρ**: 9.1 Mg/m³